Run A
TaCd2Tc | meta-GGA SCAN | PBEsol geometry

```
TaCd2Tc
1.0
3.433 0.000 0.000
0.000 4.245 0.000
0.000 0.000 4.723
Ta Cd Tc
1 2 1
Direct
0.000 0.000 0.000 Ta
0.000 0.500 0.500 Cd
0.500 0.000 0.500 Cd
0.500 0.500 0.000 Tc
```

Calculated values
crystal system: orthorhombic
N(E_F): 0.57 states/eV per atom
space group: Pmmm (47)

***

Run B
TaCd2Tc | meta-GGA SCAN | PBEsol geometry

```
TaCd2Tc
1.0
2.773 0.000 0.000
0.000 2.773 0.000
0.000 0.000 8.965
Ta Cd Tc
1 2 1
Direct
0.000 0.000 0.000 Ta
0.500 0.500 0.260 Cd
0.500 0.500 0.740 Cd
0.000 0.000 0.500 Tc
```

Calculated values
crystal system: tetragonal
N(E_F): 0.67 states/eV per atom
space group: P4/mmm (123)

***

Run C
TaCd2Tc | meta-GGA SCAN | PBEsol geometry

```
TaCd2Tc
1.0
2.723 -4.600 0.000
2.723 4.600 0.000
0.000 0.000 2.749
Ta Cd Tc
1 2 1
Direct
0.000 0.000 0.000 Ta
0.000 0.500 0.500 Cd
0.500 0.000 0.500 Cd
0.500 0.500 0.000 Tc
```

Calculated values
crystal system: orthorhombic
N(E_F): 0.49 states/eV per atom
space group: Cmmm (65)

***

Run D
TaCd2Tc | meta-GGA SCAN | PBEsol geometry

```
TaCd2Tc
1.0
2.765 0.000 0.000
0.000 4.552 0.000
0.000 0.000 5.464
Ta Cd Tc
1 2 1
Direct
0.000 0.000 0.000 Ta
0.500 0.500 0.254 Cd
0.500 0.500 0.746 Cd
0.000 0.000 0.500 Tc
```

Calculated values
crystal system: orthorhombic
N(E_F): 0.56 states/eV per atom
space group: Pmmm (47)

***

Which is most stable, and by how much? run A, by 0.084 eV/atom.

***

Run A
Ta2CdTe | meta-GGA SCAN | PBEsol geometry

```
Ta2CdTe
1.0
0.000 3.404 3.404
3.404 0.000 3.404
3.404 3.404 0.000
Ta Cd Te
2 1 1
Direct
0.000 0.000 0.000 Ta
0.250 0.250 0.250 Ta
0.500 0.500 0.500 Cd
0.750 0.750 0.750 Te
```

Calculated values
crystal system: cubic
N(E_F): 1.13 states/eV per atom
space group: F-43m (216)

***

Run B
Ta2CdTe | meta-GGA SCAN | PBEsol geometry

```
Ta2CdTe
1.0
3.444 0.000 0.000
0.000 4.627 0.000
0.000 0.000 4.859
Ta Cd Te
2 1 1
Direct
0.000 0.000 0.000 Ta
0.500 0.000 0.500 Ta
0.000 0.500 0.500 Cd
0.500 0.500 0.000 Te
```

Calculated values
crystal system: orthorhombic
N(E_F): 0.52 states/eV per atom
space group: Pmmm (47)

***

Which is most stable, and by how much? run B, by 0.229 eV/atom.

***

Run A
Ta2CdTe | meta-GGA SCAN | PBEsol geometry

```
Ta2CdTe
1.0
-1.706 2.449 4.622
1.706 -2.449 4.622
1.706 2.449 -4.622
Ta Cd Te
2 1 1
Direct
0.242 0.242 0.000 Ta
0.758 0.758 0.000 Ta
0.500 0.000 0.500 Cd
0.000 0.500 0.500 Te
```

Calculated values
crystal system: orthorhombic
N(E_F): 0.52 states/eV per atom
space group: Immm (71)

***

Run B
Ta2CdTe | meta-GGA SCAN | PBEsol geometry

```
Ta2CdTe
1.0
2.951 -4.479 0.000
2.951 4.479 0.000
-0.912 0.000 2.919
Ta Cd Te
2 1 1
Direct
0.000 0.500 0.000 Ta
0.500 0.000 0.000 Ta
0.000 0.000 0.500 Cd
0.500 0.500 0.500 Te
```

Calculated values
crystal system: monoclinic
N(E_F): 0.58 states/eV per atom
space group: C2/m (12)

***

Which is most stable, and by how much? run A, by 0.067 eV/atom.